VASP calculation (PBEsol) on a relaxed Sc2AlP crystal.

Computed properties:
As for the magnetic moment: 0.0 μB/cell. The calculation puts the relative energy among the computed polymorphs at 0 meV per atom.

Cell and atoms, written as CIF:
```
data_Sc2AlP
_chemical_formula_sum 'Sc4 Al2 P2'
_space_group_name_H-M_alt 'A m m 2'
_space_group_IT_number 38
_cell_length_a 3.6509
_cell_length_b 3.9357
_cell_length_c 9.9599
_cell_angle_alpha 90.00
_cell_angle_beta 90.00
_cell_angle_gamma 90.00
loop_
_space_group_symop_operation_xyz
'x,y,z'
'-x,-y,z'
'-x,y,z'
'x,-y,z'
'x,y+1/2,z+1/2'
'-x,-y+1/2,z+1/2'
'-x,y+1/2,z+1/2'
'x,-y+1/2,z+1/2'
loop_
_atom_site_label
_atom_site_fract_x
_atom_site_fract_y
_atom_site_fract_z
_atom_site_occupancy
Sc1 0.0000 0.0000 0.0000 1
Sc2 0.5000 0.0000 0.2843 1
Al1 0.0000 0.0000 0.7216 1
P1 0.5000 0.0000 0.5564 1
```